# 1
VASP calculation (GGA-PBE) on Sm3HoHg3 after structural relaxation.

## Properties
- Total magnetization: 0.0 μB/f.u.
- Volume: 399.8 Å³/cell
- Electronic total energy: -3.0682 eV per atom
- E_form: -0.262 eV/atom

```
data_Sm3HoHg3
_chemical_formula_sum 'Sm6 Ho2 Hg6'
_space_group_name_H-M_alt 'P 1'
_space_group_IT_number 1
_space_group_name_Hall 'P 1'
_cell_length_a 5.190
_cell_length_b 9.432
_cell_length_c 9.432
_cell_angle_alpha 120.00
_cell_angle_beta 90.00
_cell_angle_gamma 90.00
loop_
_atom_site_label
_atom_site_fract_x
_atom_site_fract_y
_atom_site_fract_z
Sm1 0.750 0.248 0.007
Sm2 0.250 0.752 0.993
Hg1 0.750 0.446 0.390
Sm3 0.750 0.993 0.241
Sm4 0.750 0.759 0.752
Hg2 0.250 0.554 0.610
Hg3 0.250 0.055 0.446
Hg4 0.750 0.945 0.554
Ho1 0.750 0.333 0.667
Hg5 0.250 0.390 0.945
Hg6 0.750 0.610 0.055
Ho2 0.250 0.667 0.333
Sm5 0.250 0.007 0.759
Sm6 0.250 0.241 0.248
```

***

# 2
VASP calculation (GGA-PBE) on CuAu3C after structural relaxation.

## Properties
- Total magnetization: 0.0 μB/f.u.
- Volume: 79.9 Å³/cell
- Relative energy among the computed polymorphs: 0 meV per atom
- Electronic total energy: -3.8802 eV per atom
- E_form: 0.750 eV/atom

```
data_CuAu3C
_chemical_formula_sum 'Cu1 Au3 C1'
_space_group_name_H-M_alt 'P 1'
_space_group_IT_number 1
_space_group_name_Hall 'P 1'
_cell_length_a 4.307
_cell_length_b 4.307
_cell_length_c 4.307
_cell_angle_alpha 90.00
_cell_angle_beta 90.00
_cell_angle_gamma 90.00
loop_
_atom_site_label
_atom_site_fract_x
_atom_site_fract_y
_atom_site_fract_z
Au1 0.500 0.000 0.000
Cu1 0.500 0.500 0.500
C1 0.000 0.000 0.000
Au2 0.000 0.000 0.500
Au3 0.000 0.500 0.000
```

***

# 3
VASP calculation (GGA-PBE) on TlNi2As2 after structural relaxation.

## Properties
- Total magnetization: 0.0 μB/f.u.
- Volume: 173.3 Å³/cell
- Relative energy among the computed polymorphs: 239 meV per atom
- Electronic total energy: -4.5672 eV per atom
- E_form: 0.078 eV/atom

```
data_TlNi2As2
_chemical_formula_sum 'Tl2 Ni4 As4'
_space_group_name_H-M_alt 'P 1'
_space_group_IT_number 1
_space_group_name_Hall 'P 1'
_cell_length_a 7.598
_cell_length_b 7.598
_cell_length_c 3.001
_cell_angle_alpha 90.00
_cell_angle_beta 90.00
_cell_angle_gamma 90.00
loop_
_atom_site_label
_atom_site_fract_x
_atom_site_fract_y
_atom_site_fract_z
As1 0.141 0.641 0.500
Tl1 0.000 0.000 0.000
Tl2 0.500 0.500 0.000
Ni1 0.879 0.621 0.000
Ni2 0.121 0.379 0.000
As2 0.641 0.859 0.500
As3 0.359 0.141 0.500
Ni3 0.379 0.879 0.000
Ni4 0.621 0.121 0.000
As4 0.859 0.359 0.500
```

***

# 4
VASP calculation (GGA-PBE) on AcMnCrC2 after structural relaxation.

## Properties
- Total magnetization: 0.8 μB/f.u.
- Volume: 69.2 Å³/cell
- Electronic total energy: -8.3161 eV per atom
- E_form: -0.046 eV/atom

```
data_AcMnCrC2
_chemical_formula_sum 'Ac1 Mn1 Cr1 C2'
_space_group_name_H-M_alt 'P 1'
_space_group_IT_number 1
_space_group_name_Hall 'P 1'
_cell_length_a 3.512
_cell_length_b 3.512
_cell_length_c 6.134
_cell_angle_alpha 106.64
_cell_angle_beta 106.64
_cell_angle_gamma 90.00
loop_
_atom_site_label
_atom_site_fract_x
_atom_site_fract_y
_atom_site_fract_z
C1 0.665 0.665 0.330
Cr1 0.750 0.250 0.500
Mn1 0.250 0.750 0.500
Ac1 0.000 0.000 0.000
C2 0.335 0.335 0.670
```

***

# 5
VASP calculation (GGA-PBE) on HfHRh3 after structural relaxation.

## Properties
- Total magnetization: 0.0 μB/f.u.
- Volume: 143.3 Å³/cell
- Relative energy among the computed polymorphs: 444 meV per atom
- Electronic total energy: -7.3176 eV per atom

```
data_HfHRh3
_chemical_formula_sum 'Hf2 H2 Rh6'
_space_group_name_H-M_alt 'P 1'
_space_group_IT_number 1
_space_group_name_Hall 'P 1'
_cell_length_a 17.115
_cell_length_b 7.518
_cell_length_c 7.518
_cell_angle_alpha 149.86
_cell_angle_beta 157.31
_cell_angle_gamma 22.69
loop_
_atom_site_label
_atom_site_fract_x
_atom_site_fract_y
_atom_site_fract_z
Rh1 0.271 0.705 0.295
Rh2 0.997 0.597 0.403
Rh3 0.729 0.295 0.705
Hf1 0.232 0.933 0.067
Hf2 0.768 0.067 0.933
Rh4 0.003 0.403 0.597
H1 0.669 0.017 0.983
Rh5 0.688 0.527 0.473
Rh6 0.312 0.473 0.527
H2 0.331 0.983 0.017
```

***

# 6
VASP calculation (GGA-PBE) on Tb4Ga3Cu after structural relaxation.

## Properties
- Total magnetization: 0.0 μB/f.u.
- Volume: 364.5 Å³/cell
- Relative energy among the computed polymorphs: 4 meV per atom
- Electronic total energy: -4.4559 eV per atom
- E_form: -0.494 eV/atom

```
data_Tb4Ga3Cu
_chemical_formula_sum 'Tb8 Ga6 Cu2'
_space_group_name_H-M_alt 'P 1'
_space_group_IT_number 1
_space_group_name_Hall 'P 1'
_cell_length_a 5.032
_cell_length_b 7.198
_cell_length_c 10.065
_cell_angle_alpha 90.00
_cell_angle_beta 90.00
_cell_angle_gamma 90.00
loop_
_atom_site_label
_atom_site_fract_x
_atom_site_fract_y
_atom_site_fract_z
Ga1 0.500 0.500 0.750
Tb1 0.000 0.253 0.250
Ga2 0.500 0.500 0.250
Tb2 0.500 0.253 0.500
Tb3 0.000 0.747 0.250
Tb4 0.000 0.747 0.750
Ga3 0.501 0.000 0.750
Tb5 0.500 0.253 0.000
Ga4 0.499 0.000 0.250
Ga5 0.000 0.000 0.500
Ga6 0.000 0.000 0.000
Cu1 0.000 0.500 0.500
Tb6 0.000 0.253 0.750
Cu2 0.000 0.500 0.000
Tb7 0.500 0.747 0.000
Tb8 0.500 0.747 0.500
```